# CaBePb3

A geometry-optimized CaBePb3 structure (PBE, the Alexandria database).

Cell: 5.2188 5.2188 5.2188 Å, 90.00 90.00 90.00°
Last column: nearest neighbours and their distance in Å.
Positions (direct):
Ca  0.0000  0.0000  0.0000  12 Pb 3.69
Be  0.5000  0.5000  0.5000  6 Pb 2.61
Pb  0.0000  0.5000  0.5000  2 Be 2.61
Pb  0.5000  0.0000  0.5000  2 Be 2.61
Pb  0.5000  0.5000  0.0000  2 Be 2.61

**Total magnetization**: 0.0 μB per formula unit
**Formation energy**: 11 kJ/mol of atoms
**Crystal system**: cubic
**Fermi-level density of states**: 3.30 states/eV per cell
**Final energy**: -3.256 eV/atom
**Energy relative to the lowest polymorph listed for this composition**: 0 meV per atom